[1]
# UNiP2

UNiP2 after structural relaxation (PBE, Alexandria).

Properties
The value obtained for the density of states at the Fermi level is 0.880 states/eV/atom. The value obtained for the density is 9.73 g/cm³. As for the total DFT energy (no corrections): -7.55 eV/atom.

Lattice parameters (Å, degrees): 4.1127 4.1127 3.6170 90.00 90.00 90.00
Space group P4/mmm (No. 123)
Asymmetric unit:
U 0.0000 0.0000 0.0000 [1 per cell]
Ni 0.5000 0.5000 0.0000 [1 per cell]
P 0.0000 0.5000 0.5000 [2 per cell]



[2]
# U3Ni2P4

U3Ni2P4 after structural relaxation (PBE, Alexandria).

Properties
The value obtained for the density of states at the Fermi level is 1.376 states/eV/atom. The value obtained for the density is 10.37 g/cm³. As for the total DFT energy (no corrections): -8.33 eV/atom. The calculation puts the energy above the most stable polymorph in this dataset at 0 meV/atom.

Lattice parameters (Å, degrees): 12.1160 3.7673 8.1887 90.00 125.09 90.00
Space group C2/m (No. 12)
Asymmetric unit:
U 0.0000 0.0000 0.0000 [2 per cell]
U 0.1051 0.5000 0.6758 [4 per cell]
Ni 0.1850 0.5000 0.3682 [4 per cell]
P 0.0893 0.0000 0.3937 [4 per cell]
P 0.1918 0.5000 0.0978 [4 per cell]



[3]
# UNi5P2

UNi5P2 after structural relaxation (PBE, Alexandria).

Properties
The value obtained for the density of states at the Fermi level is 1.544 states/eV/atom. The value obtained for the density is 9.47 g/cm³. As for the total DFT energy (no corrections): -6.94 eV/atom.

Lattice parameters (Å, degrees): 3.6712 6.4632 8.7697 90.00 90.00 90.00
Space group Immm (No. 71)
Asymmetric unit:
U 0.0000 0.0000 0.0000 [2 per cell]
Ni 0.0000 0.1896 0.3501 [8 per cell]
Ni 0.0000 0.5000 0.0000 [2 per cell]
P 0.0000 0.5000 0.2487 [4 per cell]



[4]
# U2NiP2

U2NiP2 after structural relaxation (PBE, Alexandria).

Properties
The value obtained for the density of states at the Fermi level is 1.498 states/eV/atom. The value obtained for the density is 10.93 g/cm³. As for the total DFT energy (no corrections): -8.58 eV/atom.

Lattice parameters (Å, degrees): 3.8569 13.7700 6.8253 90.00 90.00 90.00
Space group Cmc2_1 (No. 36)
Asymmetric unit:
U 0.0000 0.0655 0.0000 [4 per cell]
U 0.0000 0.1889 0.2642 [4 per cell]
Ni 0.0000 0.4051 0.1056 [4 per cell]
P 0.0000 0.1727 0.6658 [4 per cell]
P 0.0000 0.4562 0.7912 [4 per cell]



[5]
# UNi6P4

UNi6P4 after structural relaxation (PBE, Alexandria).

Properties
The value obtained for the density of states at the Fermi level is 0.935 states/eV/atom. The value obtained for the density is 8.61 g/cm³. As for the total DFT energy (no corrections): -6.73 eV/atom. The calculation puts the energy above the most stable polymorph in this dataset at 0 meV/atom.

Lattice parameters (Å, degrees): 6.6422 6.6422 3.6043 90.00 90.00 120.00
Space group P-6m2 (No. 187)
Asymmetric unit:
U 0.0000 0.0000 0.0000 [1 per cell]
Ni 0.0737 0.5369 0.0000 [3 per cell]
Ni 0.4106 0.2053 0.5000 [3 per cell]
P 0.1875 0.3750 0.5000 [3 per cell]
P 0.6667 0.3333 0.0000 [1 per cell]



[6]
# UNi3P2

UNi3P2 after structural relaxation (PBE, Alexandria).

Properties
The value obtained for the density of states at the Fermi level is 1.331 states/eV/atom. The value obtained for the density is 9.72 g/cm³. As for the total DFT energy (no corrections): -7.32 eV/atom. The calculation puts the energy above the most stable polymorph in this dataset at 0 meV/atom.

Lattice parameters (Å, degrees): 3.7643 10.4734 12.3723 90.00 90.00 90.00
Space group Pmmn (No. 59, origin choice 2)
Asymmetric unit:
U 0.2500 0.0663 0.2054 [4 per cell]
U 0.2500 0.2500 0.4780 [2 per cell]
Ni 0.2500 0.1292 0.7062 [4 per cell]
Ni 0.2500 0.2500 0.0142 [2 per cell]
Ni 0.2500 0.5519 0.4290 [4 per cell]
Ni 0.2500 0.5811 0.9981 [4 per cell]
Ni 0.2500 0.7500 0.1601 [2 per cell]
Ni 0.2500 0.7500 0.7003 [2 per cell]
P 0.2500 0.0970 0.8905 [4 per cell]
P 0.2500 0.5624 0.6134 [4 per cell]
P 0.2500 0.7500 0.3434 [2 per cell]
P 0.2500 0.7500 0.8798 [2 per cell]



[7]
# U3Ni4P4

U3Ni4P4 after structural relaxation (PBE, Alexandria).

Properties
The value obtained for the density of states at the Fermi level is 1.741 states/eV/atom. The value obtained for the density is 10.45 g/cm³. As for the total DFT energy (no corrections): -7.94 eV/atom.

Lattice parameters (Å, degrees): 3.8140 3.8192 23.4153 90.00 90.00 90.00
Space group Immm (No. 71)
Asymmetric unit:
U 0.0000 0.0000 0.0000 [2 per cell]
U 0.0000 0.5000 0.3533 [4 per cell]
Ni 0.0000 0.0000 0.2500 [4 per cell]
Ni 0.0000 0.5000 0.1000 [4 per cell]
P 0.0000 0.0000 0.4479 [4 per cell]
P 0.0000 0.5000 0.1954 [4 per cell]



[8]
# UNiP2

UNiP2 after structural relaxation (PBE, Alexandria).

Properties
The value obtained for the density of states at the Fermi level is 1.307 states/eV/atom. The value obtained for the density is 9.17 g/cm³. As for the total DFT energy (no corrections): -7.55 eV/atom.

Lattice parameters (Å, degrees): 7.6300 5.3717 6.3394 90.00 90.00 90.00
Space group Pnma (No. 62)
Asymmetric unit:
U 0.1794 0.2500 0.1884 [4 per cell]
Ni 0.1251 0.2500 0.7424 [4 per cell]
P 0.0000 0.0000 0.5000 [4 per cell]
P 0.1207 0.7500 0.0666 [4 per cell]



[9]
# U2NiP4

U2NiP4 after structural relaxation (PBE, Alexandria).

Properties
The value obtained for the density of states at the Fermi level is 1.256 states/eV/atom. The value obtained for the density is 8.95 g/cm³. As for the total DFT energy (no corrections): -7.92 eV/atom.

Lattice parameters (Å, degrees): 3.7833 3.7833 8.5401 90.00 90.00 90.00
Space group P-4m2 (No. 115)
Asymmetric unit:
U 0.0000 0.5000 0.2491 [2 per cell]
Ni 0.5000 0.5000 0.0000 [1 per cell]
P 0.0000 0.0000 0.5000 [1 per cell]
P 0.0000 0.5000 0.8535 [2 per cell]
P 0.5000 0.5000 0.5000 [1 per cell]



[10]
# UNiP2

UNiP2 after structural relaxation (PBE, Alexandria).

Properties
The value obtained for the density of states at the Fermi level is 1.057 states/eV/atom. The value obtained for the density is 9.48 g/cm³. As for the total DFT energy (no corrections): -7.79 eV/atom.

Lattice parameters (Å, degrees): 3.7630 3.7630 17.7530 90.00 90.00 90.00
Space group I4/mmm (No. 139)
Asymmetric unit:
U 0.0000 0.0000 0.1140 [4 per cell]
Ni 0.0000 0.5000 0.2500 [4 per cell]
P 0.0000 0.0000 0.3268 [4 per cell]
P 0.0000 0.5000 0.0000 [4 per cell]